No. 1
DFT (PBE) results for an optimized crystal structure of CuReSnPt.

**DFT total energy**: -6.224 eV/atom
**Offset from the most stable computed form**: 0.0000 eV per atom

```
CuReSnPt
1.0
0.000 3.178 3.178
3.178 0.000 3.178
3.178 3.178 0.000
Cu Pt Re Sn
1 1 1 1
Direct
0.750 0.750 0.750
0.500 0.500 0.500
0.250 0.250 0.250
0.000 0.000 0.000
```

No. 2
DFT (PBE) results for an optimized crystal structure of TlCuRePt.

**DFT total energy**: -5.469 eV/atom
**Offset from the most stable computed form**: 0.0244 eV per atom

```
TlCuRePt
1.0
0.000 3.219 3.219
3.219 0.000 3.219
3.219 3.219 0.000
Cu Pt Re Tl
1 1 1 1
Direct
0.750 0.750 0.750
0.250 0.250 0.250
0.500 0.500 0.500
0.000 0.000 0.000
```

No. 3
DFT (PBE) results for an optimized crystal structure of TlCuRePt.

**DFT total energy**: -5.493 eV/atom
**Offset from the most stable computed form**: 0.0000 eV per atom

```
TlCuRePt
1.0
0.000 3.214 3.214
3.214 0.000 3.214
3.214 3.214 0.000
Cu Pt Re Tl
1 1 1 1
Direct
0.750 0.750 0.750
0.500 0.500 0.500
0.250 0.250 0.250
0.000 0.000 0.000
```

No. 4
DFT (PBE) results for an optimized crystal structure of CuPt2S4.

**DFT total energy**: -4.950 eV/atom

```
CuPt2S4
1.0
10.738 0.000 0.014
0.000 6.980 0.000
-0.221 0.000 6.799
Cu Pt S
4 8 16
Direct
0.651 0.000 0.008
0.849 0.000 0.492
0.151 0.000 0.508
0.349 0.000 0.992
0.000 0.752 0.000
0.750 0.500 0.250
0.250 0.500 0.250
0.500 0.752 0.500
0.500 0.248 0.500
0.750 0.500 0.750
0.250 0.500 0.750
0.000 0.248 0.000
0.777 0.268 0.007
0.777 0.732 0.007
0.023 0.500 0.239
0.004 0.000 0.249
0.496 0.000 0.251
0.477 0.500 0.261
0.723 0.732 0.493
0.723 0.268 0.493
0.277 0.732 0.507
0.277 0.268 0.507
0.523 0.500 0.739
0.504 0.000 0.749
0.996 0.000 0.751
0.977 0.500 0.761
0.223 0.268 0.993
0.223 0.732 0.993
```

No. 5
DFT (PBE) results for an optimized crystal structure of TlCuPtS3.

**DFT total energy**: -4.362 eV/atom
**Offset from the most stable computed form**: 0.0000 eV per atom

```
TlCuPtS3
1.0
-10.708 -1.412 8.511
-0.431 -3.541 -1.130
6.199 -3.080 7.288
Cu Pt S Tl
4 4 12 4
Direct
0.010 0.750 0.081
0.510 0.750 0.419
0.490 0.250 0.581
0.990 0.250 0.919
0.507 0.250 0.152
0.007 0.250 0.348
0.993 0.750 0.652
0.493 0.750 0.848
0.416 0.750 0.062
0.915 0.250 0.139
0.606 0.750 0.231
0.106 0.750 0.269
0.415 0.250 0.361
0.916 0.750 0.438
0.084 0.250 0.562
0.585 0.750 0.639
0.894 0.250 0.731
0.394 0.250 0.769
0.085 0.750 0.861
0.584 0.250 0.938
0.214 0.250 0.033
0.714 0.250 0.467
0.286 0.750 0.533
0.786 0.750 0.967
```

No. 6
DFT (PBE) results for an optimized crystal structure of TlCuPtS3.

**DFT total energy**: -4.317 eV/atom
**Offset from the most stable computed form**: 0.0446 eV per atom

```
TlCuPtS3
1.0
10.286 0.000 0.000
0.000 1.835 6.306
0.000 -1.835 6.306
Cu Pt S Tl
2 2 6 2
Direct
0.500 0.408 0.408
0.000 0.592 0.592
0.250 0.000 0.000
0.750 0.000 0.000
0.500 0.026 0.026
0.280 0.380 0.380
0.720 0.380 0.380
0.220 0.620 0.620
0.780 0.620 0.620
0.000 0.974 0.974
0.000 0.280 0.280
0.500 0.720 0.720
```

- Which of these has the highest DFT total energy?
  number 6